## GdBiSb (PBE-GGA)

Data for an optimized crystal structure of GdBiSb.

Output
relative energy among the computed polymorphs = 208.9 meV/atom
formation energy from raw total energies = -0.377 eV/atom

abc: 5.5420 5.5420 3.3071
angles: 90.00 90.00 120.00
Last column: nearest neighbours and their distance in Å.
Space group P3m1 (No. 156)
Symmetry-distinct sites (fractional):
Gd 0.0000 0.0000 0.0000 [1 per cell]  2 Gd 3.31, 6 Bi 3.60, 6 Sb 3.60
Bi 0.3333 0.6667 0.5018 [1 per cell]  3 Sb 3.20, 2 Bi 3.31
Sb 0.6667 0.3333 0.4989 [1 per cell]  3 Bi 3.20, 2 Sb 3.31